[1]
Entry from Alexandria via LeMat-Bulk: a PBEsol-optimized structure of MgMnTl2 (meta-GGA SCAN).

Cell: 4.212 4.212 5.657 Å, 111.86 111.86 90.00°
Positions (direct):
Mg1 0.500 0.500 0.000
Mn1 0.250 0.750 0.500
Tl1 0.000 0.000 0.000
Tl2 0.750 0.250 0.500

## Properties
The formation energy comes out at 0.05 eV/atom. For the density of states at the Fermi level, the calculation gives 0.4650 states/eV per atom. As for the space-group type: No. 119.



[2]
Entry from Alexandria via LeMat-Bulk: a PBEsol-optimized structure of MgMnTl2 (meta-GGA SCAN).

Cell: 3.262 4.673 6.393 Å, 111.44 104.78 90.00°
Positions (direct):
Mn1 0.748 0.248 0.497
Tl1 0.258 0.758 0.516
Tl2 0.037 0.037 0.075
Mg1 0.456 0.456 0.913

## Properties
The formation energy comes out at 0.04 eV/atom. For the density of states at the Fermi level, the calculation gives 0.4317 states/eV per atom. As for the space-group type: No. 44.



[3]
Entry from Alexandria via LeMat-Bulk: a PBEsol-optimized structure of MgMnTl2 (meta-GGA SCAN).

Cell: 3.279 3.279 8.210 Å, 90.00 90.00 90.00°
Positions (direct):
Mg1 0.000 0.000 0.541
Tl1 0.500 0.500 0.263
Tl2 0.000 0.000 0.955
Mn1 0.500 0.500 0.740

## Properties
The formation energy comes out at 0.09 eV/atom. For the density of states at the Fermi level, the calculation gives 0.6137 states/eV per atom. As for the space-group type: No. 99.